No. 1
## Na2Li2Al (GGA-PBE)

Data for an optimized crystal structure of Na2Li2Al.

CIF file:
```
data_Na2Li2Al
_symmetry_space_group_name_H-M 'P 4/m b m'
_symmetry_Int_Tables_number 127
_symmetry_space_group_name_Hall '-P 4 2ab'
_cell_length_a 7.0421
_cell_length_b 7.0421
_cell_length_c 5.0798
_cell_angle_alpha 90.00
_cell_angle_beta 90.00
_cell_angle_gamma 90.00
loop_
_atom_site_label
_atom_site_type_symbol
_atom_site_fract_x
_atom_site_fract_y
_atom_site_fract_z
Na1 Na 0.1848 0.3152 0.0000
Li1 Li 0.1434 0.6434 0.5000
Al1 Al 0.0000 0.0000 0.5000
```

Values from the calculation:
Relative energy among the computed polymorphs ... 0.00 eV per formula unit
V ... 25.2 Å³/atom

---

No. 2
## Na2Li2Al (GGA-PBE)

Data for an optimized crystal structure of Na2Li2Al.

CIF file:
```
data_Na2Li2Al
_symmetry_space_group_name_H-M 'P 4/m b m'
_symmetry_Int_Tables_number 127
_symmetry_space_group_name_Hall '-P 4 2ab'
_cell_length_a 8.4530
_cell_length_b 8.4530
_cell_length_c 3.2559
_cell_angle_alpha 90.00
_cell_angle_beta 90.00
_cell_angle_gamma 90.00
loop_
_atom_site_label
_atom_site_type_symbol
_atom_site_fract_x
_atom_site_fract_y
_atom_site_fract_z
Na1 Na 0.1357 0.3643 0.0000
Li1 Li 0.1684 0.6684 0.5000
Al1 Al 0.0000 0.0000 0.0000
```

Values from the calculation:
Relative energy among the computed polymorphs ... 0.45 eV per formula unit
V ... 23.3 Å³/atom

---

No. 3
## NaLi14Al (GGA-PBE)

Data for an optimized crystal structure of NaLi14Al.

CIF file:
```
data_NaLi14Al
_symmetry_space_group_name_H-M 'P 4/m m m'
_symmetry_Int_Tables_number 123
_symmetry_space_group_name_Hall '-P 4 2'
_cell_length_a 6.1627
_cell_length_b 6.1627
_cell_length_c 8.3805
_cell_angle_alpha 90.00
_cell_angle_beta 90.00
_cell_angle_gamma 90.00
loop_
_atom_site_label
_atom_site_type_symbol
_atom_site_fract_x
_atom_site_fract_y
_atom_site_fract_z
Na1 Na 0.0000 0.0000 0.0000
Li1 Li 0.0000 0.0000 0.5000
Li2 Li 0.0000 0.5000 0.0000
Li3 Li 0.0000 0.5000 0.5000
Li4 Li 0.2654 0.2654 0.2485
Li5 Li 0.5000 0.5000 0.5000
Al1 Al 0.5000 0.5000 0.0000
```

Values from the calculation:
V ... 19.9 Å³/atom
Final energy ... -2.00 eV per atom

---

No. 4
## NaLi4Al (GGA-PBE)

Data for an optimized crystal structure of NaLi4Al.

CIF file:
```
data_NaLi4Al
_symmetry_space_group_name_H-M 'F -4 3 m'
_symmetry_Int_Tables_number 216
_symmetry_space_group_name_Hall 'F -4 2 3'
_cell_length_a 7.7923
_cell_length_b 7.7923
_cell_length_c 7.7923
_cell_angle_alpha 90.00
_cell_angle_beta 90.00
_cell_angle_gamma 90.00
loop_
_atom_site_label
_atom_site_type_symbol
_atom_site_fract_x
_atom_site_fract_y
_atom_site_fract_z
Na1 Na 0.0000 0.0000 0.0000
Li1 Li 0.1228 0.1228 0.6228
Al1 Al 0.2500 0.2500 0.2500
```

Values from the calculation:
V ... 19.7 Å³/atom
Final energy ... -2.04 eV per atom

---

No. 5
## NaLi3Al (GGA-PBE)

Data for an optimized crystal structure of NaLi3Al.

CIF file:
```
data_NaLi3Al
_symmetry_space_group_name_H-M 'P m -3 m'
_symmetry_Int_Tables_number 221
_symmetry_space_group_name_Hall '-P 4 2 3'
_cell_length_a 4.8539
_cell_length_b 4.8539
_cell_length_c 4.8539
_cell_angle_alpha 90.00
_cell_angle_beta 90.00
_cell_angle_gamma 90.00
loop_
_atom_site_label
_atom_site_type_symbol
_atom_site_fract_x
_atom_site_fract_y
_atom_site_fract_z
Na1 Na 0.0000 0.0000 0.0000
Li1 Li 0.0000 0.0000 0.5000
Al1 Al 0.5000 0.5000 0.5000
```

Values from the calculation:
Relative energy among the computed polymorphs ... 1.56 eV per formula unit
V ... 22.9 Å³/atom

---

No. 6
## Na3LiAl (GGA-PBE)

Data for an optimized crystal structure of Na3LiAl.

CIF file:
```
data_Na3LiAl
_symmetry_space_group_name_H-M 'P m -3 m'
_symmetry_Int_Tables_number 221
_symmetry_space_group_name_Hall '-P 4 2 3'
_cell_length_a 5.8072
_cell_length_b 5.8072
_cell_length_c 5.8072
_cell_angle_alpha 90.00
_cell_angle_beta 90.00
_cell_angle_gamma 90.00
loop_
_atom_site_label
_atom_site_type_symbol
_atom_site_fract_x
_atom_site_fract_y
_atom_site_fract_z
Na1 Na 0.0000 0.0000 0.5000
Li1 Li 0.5000 0.5000 0.5000
Al1 Al 0.0000 0.0000 0.0000
```

Values from the calculation:
Relative energy among the computed polymorphs ... 0.00 eV per formula unit
V ... 39.2 Å³/atom

---

No. 7
## NaLiAl3 (GGA-PBE)

Data for an optimized crystal structure of NaLiAl3.

CIF file:
```
data_NaLiAl3
_symmetry_space_group_name_H-M 'P m -3 m'
_symmetry_Int_Tables_number 221
_symmetry_space_group_name_Hall '-P 4 2 3'
_cell_length_a 4.7011
_cell_length_b 4.7011
_cell_length_c 4.7011
_cell_angle_alpha 90.00
_cell_angle_beta 90.00
_cell_angle_gamma 90.00
loop_
_atom_site_label
_atom_site_type_symbol
_atom_site_fract_x
_atom_site_fract_y
_atom_site_fract_z
Na1 Na 0.0000 0.0000 0.0000
Li1 Li 0.5000 0.5000 0.5000
Al1 Al 0.0000 0.5000 0.5000
```

Values from the calculation:
Relative energy among the computed polymorphs ... 0.00 eV per formula unit
V ... 20.8 Å³/atom

---

No. 8
## NaLi2NbAl (GGA-PBE)

Data for an optimized crystal structure of NaLi2NbAl.

CIF file:
```
data_NaLi2NbAl
_symmetry_space_group_name_H-M 'P 4/m m m'
_symmetry_Int_Tables_number 123
_symmetry_space_group_name_Hall '-P 4 2'
_cell_length_a 4.1482
_cell_length_b 4.1482
_cell_length_c 5.0673
_cell_angle_alpha 90.00
_cell_angle_beta 90.00
_cell_angle_gamma 90.00
loop_
_atom_site_label
_atom_site_type_symbol
_atom_site_fract_x
_atom_site_fract_y
_atom_site_fract_z
Na1 Na 0.0000 0.0000 0.0000
Li1 Li 0.0000 0.5000 0.0000
Nb1 Nb 0.5000 0.5000 0.5000
Al1 Al 0.0000 0.0000 0.5000
```

Values from the calculation:
V ... 17.4 Å³/atom
Final energy ... -2.98 eV per atom